DFT (PBE) results for a relaxed structure of Ba2CaAuO.

The structure in extended XYZ format:
```
5
Lattice="5.6594 0.0000 0.0000 0.0000 5.6594 0.0000 0.0000 0.0000 4.5862" Properties=species:S:1:pos:R:3 pbc="T T T"
Ba 0.0000 2.8297 0.0000
Ba 2.8297 0.0000 0.0000
Ca 0.0000 0.0000 2.2931
Au 2.8297 2.8297 2.2931
O 0.0000 0.0000 0.0000
```

Properties
N(E_F) = 4.44 states/eV/f.u.
Space group = P4/mmm
ΔE_f (raw) = -1268 meV per atom
Size of the total moment = 0.0 μB per formula unit
Uncorrected energy = -4.0841 eV per atom



DFT (PBE) results for a relaxed structure of KRbO.

The structure in extended XYZ format:
```
3
Lattice="4.1972 0.0000 0.0000 -2.0986 3.6348 0.0000 0.0000 0.0000 6.4658" Properties=species:S:1:pos:R:3 pbc="T T T"
K 0.0000 0.0000 0.0000
Rb 0.0000 2.4232 2.4739
O 2.0986 1.2116 1.1198
```

Properties
N(E_F) = 3.71 states/eV/f.u.
Space group = P3m1
ΔE_f (raw) = -938 meV per atom
Size of the total moment = 0.1 μB per formula unit
Uncorrected energy = -3.2791 eV per atom